# 1
The following is a GGA-PBE calculation of crystalline Nd3Dy3Tl5 at its relaxed geometry, from Alexandria.

Computed properties:
Energy relative to the elements, kJ per mole of atoms: 26
Space-group type: P-62m (189)

Geometry as POSCAR:
```
Nd3Dy3Tl5
1.0
9.311 0.000 0.000
-4.655 8.063 0.000
0.000 0.000 5.703
Nd Dy Tl
3 3 5
Direct
0.000 0.565 0.000 Nd
0.435 0.435 0.000 Nd
0.565 0.000 0.000 Nd
0.000 0.317 0.500 Dy
0.317 0.000 0.500 Dy
0.683 0.683 0.500 Dy
0.000 0.684 0.500 Tl
0.316 0.316 0.500 Tl
0.333 0.667 0.500 Tl
0.667 0.333 0.500 Tl
0.684 0.000 0.500 Tl
```

---

# 2
The following is a GGA-PBE calculation of crystalline Nd4DyTl at its relaxed geometry, from Alexandria.

Computed properties:
Energy relative to the elements, kJ per mole of atoms: -10
Space-group type: P4/mmm (123)
Excess energy over the best structure of this formula in the dataset, eV/f.u.: 0.00

Geometry as POSCAR:
```
Nd4DyTl
1.0
3.684 0.000 0.000
0.000 3.684 0.000
0.000 0.000 14.596
Nd Dy Tl
4 1 1
Direct
0.000 0.000 0.149 Nd
0.000 0.000 0.851 Nd
0.500 0.500 0.327 Nd
0.500 0.500 0.673 Nd
0.000 0.000 0.500 Dy
0.500 0.500 0.000 Tl
```

---

# 3
The following is a GGA-PBE calculation of crystalline Nd9Dy2Tl at its relaxed geometry, from Alexandria.

Computed properties:
Energy relative to the elements, kJ per mole of atoms: -5
Space-group type: P4/mmm (123)

Geometry as POSCAR:
```
Nd9Dy2Tl
1.0
5.071 0.000 0.000
0.000 5.071 0.000
0.000 0.000 15.546
Nd Dy Tl
9 2 1
Direct
0.000 0.000 0.000 Nd
0.000 0.000 0.331 Nd
0.000 0.000 0.669 Nd
0.000 0.500 0.162 Nd
0.000 0.500 0.500 Nd
0.000 0.500 0.838 Nd
0.500 0.000 0.162 Nd
0.500 0.000 0.500 Nd
0.500 0.000 0.838 Nd
0.500 0.500 0.332 Dy
0.500 0.500 0.668 Dy
0.500 0.500 0.000 Tl
```

---

The lowest energy relative to the elements belongs to which entry? Nd4DyTl

---

Which of these has the highest energy relative to the elements? Nd3Dy3Tl5

---

Repeat the second record exactly.
The following is a GGA-PBE calculation of crystalline Nd4DyTl at its relaxed geometry, from Alexandria.

Computed properties:
Energy relative to the elements, kJ per mole of atoms: -10
Space-group type: P4/mmm (123)
Excess energy over the best structure of this formula in the dataset, eV/f.u.: 0.00

Geometry as POSCAR:
```
Nd4DyTl
1.0
3.684 0.000 0.000
0.000 3.684 0.000
0.000 0.000 14.596
Nd Dy Tl
4 1 1
Direct
0.000 0.000 0.149 Nd
0.000 0.000 0.851 Nd
0.500 0.500 0.327 Nd
0.500 0.500 0.673 Nd
0.000 0.000 0.500 Dy
0.500 0.500 0.000 Tl
```